1.
# RbInPIr | Alexandria | PBE | relaxed
# Calculated formation energy (eV per formula unit): -1.5
# Crystal system: tetragonal
# Total magnetization (Bohr magnetons per cell): 0.0
# DFT total energy (eV/atom): -4.860
data_RbInPIr
_chemical_formula_sum 'Rb2 In2 P2 Ir2'
_space_group_name_H-M_alt 'P 4/n m m'
_space_group_IT_number 129
_cell_length_a 4.049
_cell_length_b 4.049
_cell_length_c 13.493
_cell_angle_alpha 90.00
_cell_angle_beta 90.00
_cell_angle_gamma 90.00
loop_
_space_group_symop_operation_xyz
'x,y,z'
'-x,-y,-z'
'-y+1/2,x,z'
'y+1/2,-x,-z'
'-x+1/2,-y+1/2,z'
'x+1/2,y+1/2,-z'
'y,-x+1/2,z'
'-y,x+1/2,-z'
'x+1/2,-y,-z'
'-x+1/2,y,z'
'-y,-x,-z'
'y,x,z'
'-x,y+1/2,-z'
'x,-y+1/2,z'
'y+1/2,x+1/2,-z'
'-y+1/2,-x+1/2,z'
loop_
_atom_site_label
_atom_site_fract_x
_atom_site_fract_y
_atom_site_fract_z
Rb1 0.250 0.250 0.243
In1 0.250 0.750 0.500
P1 0.250 0.250 0.907
Ir1 0.250 0.750 0.000


2.
# InPIrS2 | Alexandria | PBE | relaxed
# Crystal system: tetragonal
# Total magnetization (Bohr magnetons per cell): 0.0
# Uncorrected formation energy (meV/atom): 329
# Distance to the lowest polymorph of the same formula (meV per atom): 0
# DFT total energy (eV/atom): -4.724
data_InPIrS2
_chemical_formula_sum 'In1 P1 Ir1 S2'
_space_group_name_H-M_alt 'P 4/m m m'
_space_group_IT_number 123
_space_group_name_Hall '-P 4 2'
_cell_length_a 4.966
_cell_length_b 4.966
_cell_length_c 4.405
_cell_angle_alpha 90.00
_cell_angle_beta 90.00
_cell_angle_gamma 90.00
loop_
_atom_site_label
_atom_site_fract_x
_atom_site_fract_y
_atom_site_fract_z
In1 0.000 0.000 0.000
P1 0.500 0.500 0.000
Ir1 0.500 0.500 0.500
S1 0.000 0.500 0.500


3.
# InPIrS2 | Alexandria | PBE | relaxed
# Crystal system: tetragonal
# Total magnetization (Bohr magnetons per cell): 0.0
# Uncorrected formation energy (meV/atom): 1042
# Distance to the lowest polymorph of the same formula (meV per atom): 714
# DFT total energy (eV/atom): -4.010
data_InPIrS2
_chemical_formula_sum 'In1 P1 Ir1 S2'
_space_group_name_H-M_alt 'P 4/m m m'
_space_group_IT_number 123
_space_group_name_Hall '-P 4 2'
_cell_length_a 4.458
_cell_length_b 4.458
_cell_length_c 4.869
_cell_angle_alpha 90.00
_cell_angle_beta 90.00
_cell_angle_gamma 90.00
loop_
_atom_site_label
_atom_site_fract_x
_atom_site_fract_y
_atom_site_fract_z
In1 0.000 0.000 0.000
P1 0.000 0.000 0.500
Ir1 0.500 0.500 0.000
S1 0.000 0.500 0.500


4.
# InPIrS2 | Alexandria | PBE | relaxed
# Crystal system: tetragonal
# Total magnetization (Bohr magnetons per cell): 1.3
# Uncorrected formation energy (meV/atom): 1612
# Distance to the lowest polymorph of the same formula (meV per atom): 1283
# DFT total energy (eV/atom): -3.441
data_InPIrS2
_chemical_formula_sum 'In1 P1 Ir1 S2'
_space_group_name_H-M_alt 'P 4/m m m'
_space_group_IT_number 123
_space_group_name_Hall '-P 4 2'
_cell_length_a 4.878
_cell_length_b 4.878
_cell_length_c 4.959
_cell_angle_alpha 90.00
_cell_angle_beta 90.00
_cell_angle_gamma 90.00
loop_
_atom_site_label
_atom_site_fract_x
_atom_site_fract_y
_atom_site_fract_z
In1 0.000 0.000 0.000
P1 0.000 0.000 0.500
Ir1 0.500 0.500 0.500
S1 0.000 0.500 0.000


5.
# InSbP2Ir | Alexandria | PBE | relaxed
# Crystal system: tetragonal
# Total magnetization (Bohr magnetons per cell): 0.0
# Uncorrected formation energy (meV/atom): 359
# DFT total energy (eV/atom): -4.949
data_InSbP2Ir
_chemical_formula_sum 'In1 Sb1 P2 Ir1'
_space_group_name_H-M_alt 'P 4/m m m'
_space_group_IT_number 123
_space_group_name_Hall '-P 4 2'
_cell_length_a 4.505
_cell_length_b 4.505
_cell_length_c 5.943
_cell_angle_alpha 90.00
_cell_angle_beta 90.00
_cell_angle_gamma 90.00
loop_
_atom_site_label
_atom_site_fract_x
_atom_site_fract_y
_atom_site_fract_z
In1 0.000 0.000 0.000
Sb1 0.500 0.500 0.000
P1 0.000 0.500 0.500
Ir1 0.500 0.500 0.500


6.
# Tm2In2PIr4 | Alexandria | PBE | relaxed
# Calculated formation energy (eV per formula unit): -3.1
# Crystal system: tetragonal
# Total magnetization (Bohr magnetons per cell): 0.0
# DFT total energy (eV/atom): -6.488
data_Tm2In2PIr4
_chemical_formula_sum 'Tm4 In4 P2 Ir8'
_space_group_name_H-M_alt 'I 4/m m m'
_space_group_IT_number 139
_space_group_name_Hall '-I 4 2'
_cell_length_a 6.206
_cell_length_b 6.206
_cell_length_c 8.868
_cell_angle_alpha 90.00
_cell_angle_beta 90.00
_cell_angle_gamma 90.00
loop_
_atom_site_label
_atom_site_fract_x
_atom_site_fract_y
_atom_site_fract_z
Tm1 0.000 0.000 0.204
In1 0.000 0.500 0.250
P1 0.000 0.000 0.500
Ir1 0.241 0.241 0.000


7.
# Zr2InPIr | Alexandria | PBE | relaxed
# Calculated formation energy (eV per formula unit): 0.2
# Crystal system: tetragonal
# Total magnetization (Bohr magnetons per cell): 0.0
# DFT total energy (eV/atom): -6.786
data_Zr2InPIr
_chemical_formula_sum 'Zr2 In1 P1 Ir1'
_space_group_name_H-M_alt 'P 4/m m m'
_space_group_IT_number 123
_space_group_name_Hall '-P 4 2'
_cell_length_a 5.222
_cell_length_b 5.222
_cell_length_c 4.361
_cell_angle_alpha 90.00
_cell_angle_beta 90.00
_cell_angle_gamma 90.00
loop_
_atom_site_label
_atom_site_fract_x
_atom_site_fract_y
_atom_site_fract_z
Zr1 0.000 0.500 0.000
In1 0.000 0.000 0.500
P1 0.500 0.500 0.500
Ir1 0.500 0.500 0.000


8.
# PaInIrPt | Alexandria | PBE | relaxed
# Calculated formation energy (eV per formula unit): -2.5
# Crystal system: cubic
# Total magnetization (Bohr magnetons per cell): 0.0
# DFT total energy (eV/atom): -7.415
data_PaInIrPt
_chemical_formula_sum 'Pa4 In4 Ir4 Pt4'
_space_group_name_H-M_alt 'F -4 3 m'
_space_group_IT_number 216
_space_group_name_Hall 'F -4 2 3'
_cell_length_a 6.830
_cell_length_b 6.830
_cell_length_c 6.830
_cell_angle_alpha 90.00
_cell_angle_beta 90.00
_cell_angle_gamma 90.00
loop_
_atom_site_label
_atom_site_fract_x
_atom_site_fract_y
_atom_site_fract_z
Pa1 0.000 0.000 0.000
In1 0.000 0.000 0.500
Ir1 0.250 0.250 0.250
Pt1 0.250 0.250 0.750


9.
# PaInSi2Ir5 | Alexandria | PBE | relaxed
# Crystal system: tetragonal
# Total magnetization (Bohr magnetons per cell): 0.0
# Uncorrected formation energy (meV/atom): -279
# DFT total energy (eV/atom): -7.766
data_PaInSi2Ir5
_chemical_formula_sum 'Pa1 In1 Si2 Ir5'
_space_group_name_H-M_alt 'P 4/m m m'
_space_group_IT_number 123
_space_group_name_Hall '-P 4 2'
_cell_length_a 3.938
_cell_length_b 3.938
_cell_length_c 11.181
_cell_angle_alpha 90.00
_cell_angle_beta 90.00
_cell_angle_gamma 90.00
loop_
_atom_site_label
_atom_site_fract_x
_atom_site_fract_y
_atom_site_fract_z
Pa1 0.000 0.000 0.000
In1 0.000 0.000 0.500
Si1 0.500 0.500 0.211
Ir1 0.000 0.500 0.324
Ir2 0.500 0.500 0.000


10.
# Pa2InSi3Ir4 | Alexandria | PBE | relaxed
# Crystal system: tetragonal
# Total magnetization (Bohr magnetons per cell): 0.0
# Uncorrected formation energy (meV/atom): -816
# DFT total energy (eV/atom): -8.160
data_Pa2InSi3Ir4
_chemical_formula_sum 'Pa2 In1 Si3 Ir4'
_space_group_name_H-M_alt 'P -4 m 2'
_space_group_IT_number 115
_space_group_name_Hall 'P -4 -2'
_cell_length_a 4.029
_cell_length_b 4.029
_cell_length_c 10.975
_cell_angle_alpha 90.00
_cell_angle_beta 90.00
_cell_angle_gamma 90.00
loop_
_atom_site_label
_atom_site_fract_x
_atom_site_fract_y
_atom_site_fract_z
Pa1 0.000 0.500 0.237
In1 0.000 0.000 0.500
Si1 0.000 0.500 0.879
Si2 0.500 0.500 0.500
Ir1 0.000 0.000 0.000
Ir2 0.000 0.500 0.666
Ir3 0.500 0.500 0.000


11.
# PaInSnIr | Alexandria | PBE | relaxed
# Calculated formation energy (eV per formula unit): -0.9
# Crystal system: tetragonal
# Total magnetization (Bohr magnetons per cell): 0.0
# DFT total energy (eV/atom): -6.507
data_PaInSnIr
_chemical_formula_sum 'Pa2 In2 Sn2 Ir2'
_space_group_name_H-M_alt 'P 4/n m m'
_space_group_IT_number 129
_cell_length_a 3.969
_cell_length_b 3.969
_cell_length_c 13.580
_cell_angle_alpha 90.00
_cell_angle_beta 90.00
_cell_angle_gamma 90.00
loop_
_space_group_symop_operation_xyz
'x,y,z'
'-x,-y,-z'
'-y+1/2,x,z'
'y+1/2,-x,-z'
'-x+1/2,-y+1/2,z'
'x+1/2,y+1/2,-z'
'y,-x+1/2,z'
'-y,x+1/2,-z'
'x+1/2,-y,-z'
'-x+1/2,y,z'
'-y,-x,-z'
'y,x,z'
'-x,y+1/2,-z'
'x,-y+1/2,z'
'y+1/2,x+1/2,-z'
'-y+1/2,-x+1/2,z'
loop_
_atom_site_label
_atom_site_fract_x
_atom_site_fract_y
_atom_site_fract_z
Pa1 0.250 0.250 0.103
In1 0.250 0.750 0.500
Sn1 0.250 0.250 0.691
Ir1 0.250 0.250 0.891


12.
# PaInTcIr | Alexandria | PBE | relaxed
# Calculated formation energy (eV per formula unit): -1.2
# Crystal system: cubic
# Total magnetization (Bohr magnetons per cell): 0.0
# DFT total energy (eV/atom): -8.163
data_PaInTcIr
_chemical_formula_sum 'Pa4 In4 Tc4 Ir4'
_space_group_name_H-M_alt 'F -4 3 m'
_space_group_IT_number 216
_space_group_name_Hall 'F -4 2 3'
_cell_length_a 6.740
_cell_length_b 6.740
_cell_length_c 6.740
_cell_angle_alpha 90.00
_cell_angle_beta 90.00
_cell_angle_gamma 90.00
loop_
_atom_site_label
_atom_site_fract_x
_atom_site_fract_y
_atom_site_fract_z
Pa1 0.000 0.000 0.000
In1 0.000 0.000 0.500
Tc1 0.250 0.250 0.250
Ir1 0.250 0.250 0.750


13.
# InIr2Pb | Alexandria | PBE | relaxed
# Calculated formation energy (eV per formula unit): 1.4
# Crystal system: orthorhombic
# Total magnetization (Bohr magnetons per cell): 0.0
# Distance to the lowest polymorph of the same formula (meV per atom): 82
# DFT total energy (eV/atom): -5.697
data_InIr2Pb
_chemical_formula_sum 'In1 Ir2 Pb1'
_space_group_name_H-M_alt 'P m m 2'
_space_group_IT_number 25
_space_group_name_Hall 'P 2 -2'
_cell_length_a 3.118
_cell_length_b 4.277
_cell_length_c 5.699
_cell_angle_alpha 90.00
_cell_angle_beta 90.00
_cell_angle_gamma 90.00
loop_
_atom_site_label
_atom_site_fract_x
_atom_site_fract_y
_atom_site_fract_z
In1 0.000 0.000 0.000
Ir1 0.000 0.000 0.482
Ir2 0.500 0.500 0.146
Pb1 0.500 0.500 0.647


14.
# InIr2Pb | Alexandria | PBE | relaxed
# Calculated formation energy (eV per formula unit): 1.3
# Crystal system: tetragonal
# Total magnetization (Bohr magnetons per cell): 0.0
# Distance to the lowest polymorph of the same formula (meV per atom): 60
# DFT total energy (eV/atom): -5.719
data_InIr2Pb
_chemical_formula_sum 'In1 Ir2 Pb1'
_space_group_name_H-M_alt 'P 4/m m m'
_space_group_IT_number 123
_space_group_name_Hall '-P 4 2'
_cell_length_a 4.824
_cell_length_b 4.824
_cell_length_c 3.162
_cell_angle_alpha 90.00
_cell_angle_beta 90.00
_cell_angle_gamma 90.00
loop_
_atom_site_label
_atom_site_fract_x
_atom_site_fract_y
_atom_site_fract_z
In1 0.000 0.000 0.000
Ir1 0.000 0.500 0.500
Pb1 0.500 0.500 0.000